one | Computed, not measured: an optimized crystal structure of OsBr at the PBE-GGA level of DFT.

POSCAR file:
```
OsBr
1.0
-1.712 -3.646 -1.427
4.009 1.035 -1.057
1.685 -2.380 4.060
Os Br
2 2
direct
0.000 0.000 0.000
0.000 0.000 0.500
0.667 0.333 0.250
0.333 0.667 0.750
```

---

two | Computed, not measured: an optimized crystal structure of OsBr at the PBE-GGA level of DFT.

POSCAR file:
```
OsBr
1.0
0.000 2.635 2.635
2.635 0.000 2.635
2.635 2.635 0.000
Br Os
1 1
direct
0.000 0.000 0.000
0.500 0.500 0.500
```

---

three | Computed, not measured: an optimized crystal structure of OsBr at the PBE-GGA level of DFT.

POSCAR file:
```
OsBr
1.0
-0.680 0.748 -2.796
-1.530 -2.143 1.379
-2.852 2.999 1.496
Br Os
1 1
direct
0.667 0.333 0.750
0.333 0.667 0.250
```

---

The structure with the greatest stability is one.

---

one | Computed, not measured: an optimized crystal structure of Tl2OsBr6 at the PBE-GGA level of DFT.

POSCAR file:
```
Tl2OsBr6
1.0
-3.611 3.611 5.113
3.611 -3.611 5.113
3.611 3.611 -5.113
Br Tl Os
6 2 1
direct
0.757 0.757 0.513
0.757 0.757 0.000
0.243 0.243 0.000
0.757 0.243 0.000
0.243 0.757 0.000
0.243 0.243 0.487
0.250 0.750 0.500
0.750 0.250 0.500
0.000 0.000 0.000
```

---

two | Computed, not measured: an optimized crystal structure of Tl2OsBr6 at the PBE-GGA level of DFT.

POSCAR file:
```
Tl2OsBr6
1.0
-6.725 0.363 2.789
-5.699 -2.269 -3.937
0.791 -5.863 2.415
Tl Br Os
2 6 1
direct
0.331 0.331 0.834
0.669 0.669 0.166
0.837 0.837 0.773
0.163 0.163 0.227
0.678 0.163 0.225
0.163 0.678 0.225
0.837 0.322 0.775
0.322 0.837 0.775
0.000 0.000 0.000
```

---

three | Computed, not measured: an optimized crystal structure of Tl2OsBr6 at the PBE-GGA level of DFT.

POSCAR file:
```
Tl2OsBr6
1.0
7.184 0.000 0.000
0.000 7.184 0.000
0.000 0.000 10.809
Os Br Tl
2 12 4
direct
0.000 0.000 0.000
0.500 0.500 0.500
0.000 0.000 0.232
0.787 0.696 0.500
0.213 0.304 0.500
0.000 0.000 0.768
0.500 0.500 0.732
0.500 0.500 0.268
0.287 0.804 0.000
0.804 0.713 0.000
0.696 0.213 0.500
0.304 0.787 0.500
0.713 0.196 0.000
0.196 0.287 0.000
0.000 0.500 0.750
0.500 0.000 0.250
0.500 0.000 0.750
0.000 0.500 0.250
```

---

The structure with the greatest stability is three.

---

one | Computed, not measured: an optimized crystal structure of Pd2Br at the PBE-GGA level of DFT.

POSCAR file:
```
Pd2Br
1.0
5.412 0.000 0.000
0.000 5.412 0.000
0.000 0.000 4.418
Pd Br
4 2
direct
0.173 0.827 0.500
0.673 0.673 0.000
0.827 0.173 0.500
0.327 0.327 0.000
0.000 0.000 0.000
0.500 0.500 0.500
```

---

two | Computed, not measured: an optimized crystal structure of Pd2Br at the PBE-GGA level of DFT.

POSCAR file:
```
Pd2Br
1.0
3.566 0.000 0.000
-1.783 3.088 0.000
0.000 0.000 5.158
Pd Br
2 1
direct
0.667 0.333 0.659
0.333 0.667 0.341
0.000 0.000 0.000
```

---

three | Computed, not measured: an optimized crystal structure of Pd2Br at the PBE-GGA level of DFT.

POSCAR file:
```
Pd2Br
1.0
1.681 -4.412 2.668
-1.036 -0.525 5.297
-3.605 -3.674 1.707
Pd Br
4 2
direct
0.125 0.625 0.625
0.625 0.625 0.125
0.625 0.125 0.625
0.625 0.625 0.625
0.250 0.250 0.250
0.000 0.000 0.000
```

---

The structure with the greatest stability is two.